No. 1
A plane-wave DFT calculation with PBE was carried out for a relaxed structure of RbTlF2.

Properties
energy relative to the elements, uncorrected	-2.157	eV/atom
space-group type	I-42d
relative energy among the computed polymorphs	4.6	kJ/mol of atoms

a b c (Å): 7.5659 7.5659 7.5659
angles (deg): 131.30 131.30 71.34
Closest atoms and distances in Å follow each position.
Sites, in units of the cell vectors:
Rb1 0.0000 0.0000 0.0000  4 F 2.73
Rb2 0.7500 0.2500 0.5000  4 F 2.73
Tl1 0.2500 0.7500 0.5000  4 F 2.65
Tl2 0.5000 0.5000 0.0000  4 F 2.65
F1 0.1370 0.6250 0.0120  2 Tl 2.65, 2 Rb 2.73
F2 0.3750 0.3870 0.5120  2 Tl 2.65, 2 Rb 2.73
F3 0.6130 0.1250 0.9880  2 Tl 2.65, 2 Rb 2.73
F4 0.8750 0.8630 0.4880  2 Tl 2.65, 2 Rb 2.73

---

No. 2
A plane-wave DFT calculation with PBE was carried out for a relaxed structure of Ba3Na4Pb4.

Properties
formation energy	-7.46	kcal/mol of atoms
space-group type	C2/m
relative energy among the computed polymorphs	0.0	kJ/mol of atoms

a b c (Å): 17.8473 17.8473 4.0757
angles (deg): 96.50 96.50 17.97
Closest atoms and distances in Å follow each position.
Sites, in units of the cell vectors:
Ba1 0.0000 0.0000 0.0000  8 Pb 3.80-3.81, 4 Na 3.83, 2 Ba 4.08
Ba2 0.3553 0.3553 0.8551  6 Pb 3.71-4.02, 6 Na 3.90-3.98, 2 Ba 4.08
Ba3 0.6447 0.6447 0.1449  6 Pb 3.71-4.02, 6 Na 3.90-3.98, 2 Ba 4.08
Na1 0.0926 0.0926 0.5916  3 Pb 3.17-3.24
Na2 0.2578 0.2578 0.2571  4 Pb 3.31-3.47, 4 Na 3.49-3.50
Na3 0.7422 0.7422 0.7429  4 Pb 3.31-3.47, 4 Na 3.49-3.50
Na4 0.9074 0.9074 0.4084  3 Pb 3.17-3.24
Pb1 0.1832 0.1832 0.6836  5 Na 3.17-3.47
Pb2 0.4544 0.4544 0.4541  1 Pb 3.20, 2 Na 3.24
Pb3 0.5456 0.5456 0.5459  1 Pb 3.20, 2 Na 3.24
Pb4 0.8168 0.8168 0.3164  5 Na 3.17-3.47

---

No. 3
A plane-wave DFT calculation with PBE was carried out for a relaxed structure of Cu2NiAg.

Properties
formation energy	3.33	kcal/mol of atoms
space-group type	R-3m

a b c (Å): 8.7480 8.7480 8.7480
angles (deg): 17.54 17.54 17.54
Closest atoms and distances in Å follow each position.
Sites, in units of the cell vectors:
Cu1 0.2432 0.2432 0.2432  3 Ni 2.51, 6 Cu 2.67, 3 Ag 2.79
Cu2 0.7568 0.7568 0.7568  3 Ni 2.51, 6 Cu 2.67, 3 Ag 2.79
Ni1 0.5000 0.5000 0.5000  6 Cu 2.51, 6 Ni 2.67
Ag1 0.0000 0.0000 0.0000  6 Ag 2.67, 6 Cu 2.79

---

No. 4
A plane-wave DFT calculation with PBE was carried out for a relaxed structure of LiHf3Sc.

Properties
formation energy	17.23	kcal/mol of atoms
space-group type	Pm-3m
relative energy among the computed polymorphs	0.0	kJ/mol of atoms

a b c (Å): 4.8001 4.8001 4.8001
angles (deg): 90.00 90.00 90.00
Closest atoms and distances in Å follow each position.
Sites, in units of the cell vectors:
Li1 0.0000 0.0000 0.0000  6 Hf 2.40
Hf1 0.0000 0.0000 0.5000  2 Li 2.40
Hf2 0.0000 0.5000 0.0000  2 Li 2.40
Hf3 0.5000 0.0000 0.0000  2 Li 2.40
Sc1 0.5000 0.5000 0.5000  12 Hf 3.39

---

No. 5
A plane-wave DFT calculation with PBE was carried out for a relaxed structure of HfSb2Ir2.

Properties
energy relative to the elements, uncorrected	0.063	eV/atom
space-group type	I4/mmm
relative energy among the computed polymorphs	22.2	kJ/mol of atoms

a b c (Å): 6.7149 6.7149 6.7149
angles (deg): 144.14 144.14 51.62
Closest atoms and distances in Å follow each position.
Sites, in units of the cell vectors:
Hf1 0.0000 0.0000 0.0000  8 Ir 3.19
Sb1 0.2500 0.7500 0.5000  4 Ir 2.71, 4 Sb 2.92
Sb2 0.7500 0.2500 0.5000  4 Ir 2.71, 4 Sb 2.92
Ir1 0.3946 0.3946 0.0000  1 Ir 2.55, 4 Sb 2.71
Ir2 0.6054 0.6054 0.0000  1 Ir 2.55, 4 Sb 2.71

---

No. 6
A plane-wave DFT calculation with PBE was carried out for a relaxed structure of Li2PrErTe4.

Properties
energy relative to the elements, uncorrected	-1.283	eV/atom
space-group type	P2/m

a b c (Å): 7.5164 4.4055 7.6322
angles (deg): 90.00 109.69 90.00
Closest atoms and distances in Å follow each position.
Sites, in units of the cell vectors:
Li1 0.0000 0.0000 0.0000  6 Te 3.01-3.02
Li2 0.0000 0.5000 0.5000  6 Te 3.11
Pr1 0.5000 0.0000 0.5000  6 Te 3.18
Er1 0.5000 0.5000 0.0000  6 Te 3.08-3.09
Te1 0.2388 0.5000 0.2364  3 Li 3.02-3.11, 1 Er 3.08, 2 Pr 3.18
Te2 0.2444 0.0000 0.7582  3 Li 3.01-3.11, 2 Er 3.09, 1 Pr 3.18
Te3 0.7556 0.0000 0.2418  3 Li 3.01-3.11, 2 Er 3.09, 1 Pr 3.18
Te4 0.7612 0.5000 0.7636  3 Li 3.02-3.11, 1 Er 3.08, 2 Pr 3.18

---

No. 7
A plane-wave DFT calculation with PBE was carried out for a relaxed structure of SrOs2Se.

Properties
energy relative to the elements, uncorrected	0.786	eV/atom
space-group type	P4/mmm

a b c (Å): 3.8984 3.8984 5.1145
angles (deg): 90.00 90.00 90.00
Closest atoms and distances in Å follow each position.
Sites, in units of the cell vectors:
Sr1 0.0000 0.0000 0.0000  4 Se 2.76
Os1 0.0000 0.5000 0.5000  4 Os 2.76
Os2 0.5000 0.0000 0.5000  4 Os 2.76
Se1 0.5000 0.5000 0.0000  4 Sr 2.76

---

No. 8
A plane-wave DFT calculation with PBE was carried out for a relaxed structure of CaGe3Cl.

Properties
energy relative to the elements, uncorrected	0.920	eV/atom
space-group type	Pm-3m
relative energy among the computed polymorphs	61.6	kJ/mol of atoms

a b c (Å): 5.6007 5.6007 5.6007
angles (deg): 90.00 90.00 90.00
Closest atoms and distances in Å follow each position.
Sites, in units of the cell vectors:
Ca1 0.0000 0.0000 0.0000  6 Ge 2.80
Ge1 0.0000 0.0000 0.5000  2 Ca 2.80
Ge2 0.0000 0.5000 0.0000  2 Ca 2.80
Ge3 0.5000 0.0000 0.0000  2 Ca 2.80
Cl1 0.5000 0.5000 0.5000  12 Ge 3.96

---

No. 9
A plane-wave DFT calculation with PBE was carried out for a relaxed structure of CePm3Nd8.

Properties
formation energy	12.05	kcal/mol of atoms
space-group type	I-42m

a b c (Å): 8.5019 8.5019 8.5019
angles (deg): 117.56 117.56 94.28
Closest atoms and distances in Å follow each position.
Sites, in units of the cell vectors:
Ce1 0.0000 0.0000 0.0000  8 Nd 2.98-3.18
Pm1 0.2500 0.7500 0.5000  4 Nd 3.50
Pm2 0.5000 0.5000 0.0000  8 Nd 3.27-3.35
Pm3 0.7500 0.2500 0.5000  4 Nd 3.50
Nd1 0.1199 0.3632 0.0000  3 Nd 3.03-3.34, 1 Ce 3.18, 1 Pm 3.35
Nd2 0.2202 0.7437 0.0000  1 Ce 2.98, 1 Pm 3.27, 1 Nd 3.28
Nd3 0.2563 0.2563 0.4764  1 Ce 2.98, 1 Pm 3.27, 1 Nd 3.28
Nd4 0.3632 0.1199 0.0000  3 Nd 3.03-3.34, 1 Ce 3.18, 1 Pm 3.35
Nd5 0.6368 0.6368 0.7568  3 Nd 3.03-3.34, 1 Ce 3.18, 1 Pm 3.35
Nd6 0.7437 0.2202 0.0000  1 Ce 2.98, 1 Pm 3.27, 1 Nd 3.28
Nd7 0.7798 0.7798 0.5236  1 Ce 2.98, 1 Pm 3.27, 1 Nd 3.28
Nd8 0.8801 0.8801 0.2432  3 Nd 3.03-3.34, 1 Ce 3.18, 1 Pm 3.35

---

No. 10
A plane-wave DFT calculation with PBE was carried out for a relaxed structure of VCo2HOs.

Properties
space-group type	P4/mmm
relative energy among the computed polymorphs	0.0	kJ/mol of atoms

a b c (Å): 3.5924 3.5924 3.8503
angles (deg): 90.00 90.00 90.00
Closest atoms and distances in Å follow each position.
Sites, in units of the cell vectors:
V1 0.0000 0.0000 0.0000  2 H 1.93
Co1 0.0000 0.5000 0.5000  2 H 1.80
Co2 0.5000 0.0000 0.5000  2 H 1.80
H1 0.0000 0.0000 0.5000  4 Co 1.80, 2 V 1.93
Os1 0.5000 0.5000 0.0000  4 V 2.54, 8 Co 2.63

---

No. 11
A plane-wave DFT calculation with PBE was carried out for a relaxed structure of PaAs2O6.

Properties
energy relative to the elements, uncorrected	-1.901	eV/atom
space-group type	C2/c

a b c (Å): 7.3765 7.3765 5.9968
angles (deg): 99.86 99.86 101.93
Closest atoms and distances in Å follow each position.
Sites, in units of the cell vectors:
Pa1 0.0836 0.9164 0.7500  6 O 2.17-2.22
Pa2 0.9164 0.0836 0.2500  6 O 2.17-2.22
As1 0.2473 0.4928 0.8219  3 O 1.78-1.91
As2 0.4928 0.2473 0.3219  3 O 1.78-1.91
As3 0.5072 0.7527 0.6781  3 O 1.78-1.91
As4 0.7527 0.5072 0.1781  3 O 1.78-1.91
O1 0.0729 0.1733 0.6075  2 Pa 2.17-2.22
O2 0.0803 0.6354 0.8247  1 As 1.78
O3 0.1733 0.0729 0.1075  2 Pa 2.17-2.22
O4 0.3175 0.5225 0.5487  2 As 1.84-1.91
O5 0.3646 0.9197 0.6753  1 As 1.78
O6 0.4775 0.6825 0.9513  2 As 1.84-1.91
O7 0.5225 0.3175 0.0487  2 As 1.84-1.91
O8 0.6354 0.0803 0.3247  1 As 1.78
O9 0.6825 0.4775 0.4513  2 As 1.84-1.91
O10 0.8267 0.9271 0.8925  2 Pa 2.17-2.22
O11 0.9197 0.3646 0.1753  1 As 1.78
O12 0.9271 0.8267 0.3925  2 Pa 2.17-2.22

---

No. 12
A plane-wave DFT calculation with PBE was carried out for a relaxed structure of MnMoHOs.

Properties
space-group type	I4mm
relative energy among the computed polymorphs	6.9	kJ/mol of atoms

a b c (Å): 6.0650 6.0650 6.0650
angles (deg): 153.74 153.74 37.48
Closest atoms and distances in Å follow each position.
Sites, in units of the cell vectors:
Mn1 0.0000 0.0000 0.0000  1 H 1.71
Mo1 0.3203 0.3203 0.0000  4 H 1.98
H1 0.8515 0.8515 0.0000  1 Mn 1.71
Os1 0.6382 0.6382 0.0000  1 H 2.45, 4 Mn 2.51